# 1
Computed, not measured: crystalline ReTeBr2 at its relaxed geometry at the PBE-GGA level of DFT.

Values from the calculation:
SG: P4/mmm
Energy above the most stable polymorph in this dataset in meV per atom: 599
Crystal system: tetragonal
Raw formation energy in eV per formula unit: 3.0

a = 3.151 Å, b = 3.151 Å, c = 10.034 Å
α = 90.00°, β = 90.00°, γ = 90.00°
Positions (direct):
1 Re 0.000 0.000 0.000
2 Te 0.000 0.000 0.500
3 Br 0.500 0.500 0.157
4 Br 0.500 0.500 0.843

# 2
Computed, not measured: crystalline ThNF at its relaxed geometry at the PBE-GGA level of DFT.

Values from the calculation:
SG: R-3m
Energy above the most stable polymorph in this dataset in meV per atom: 5
Crystal system: trigonal
Raw formation energy in eV per formula unit: -8.6

a = 7.214 Å, b = 7.214 Å, c = 7.214 Å
α = 32.32°, β = 32.32°, γ = 32.32°
Positions (direct):
1 Th 0.238 0.238 0.238
2 Th 0.762 0.762 0.762
3 N 0.123 0.123 0.123
4 N 0.877 0.877 0.877
5 F 0.369 0.369 0.369
6 F 0.631 0.631 0.631

# 3
Computed, not measured: crystalline YBiNF2 at its relaxed geometry at the PBE-GGA level of DFT.

Values from the calculation:
SG: P4/mmm
Energy above the most stable polymorph in this dataset in meV per atom: 843
Crystal system: tetragonal
Raw formation energy in eV per formula unit: -4.1

a = 4.532 Å, b = 4.532 Å, c = 4.664 Å
α = 90.00°, β = 90.00°, γ = 90.00°
Positions (direct):
1 Y 0.000 0.000 0.000
2 Bi 0.500 0.500 0.500
3 N 0.500 0.500 0.000
4 F 0.000 0.500 0.500
5 F 0.500 0.000 0.500

# 4
Computed, not measured: crystalline Mo3P at its relaxed geometry at the PBE-GGA level of DFT.

Values from the calculation:
SG: Pm-3m
Energy above the most stable polymorph in this dataset in meV per atom: 550
Crystal system: cubic

a = 3.898 Å, b = 3.898 Å, c = 3.898 Å
α = 90.00°, β = 90.00°, γ = 90.00°
Positions (direct):
1 Mo 0.000 0.000 0.500
2 Mo 0.000 0.500 0.000
3 Mo 0.500 0.000 0.000
4 P 0.500 0.500 0.500

# 5
Computed, not measured: crystalline RbCaY2Ge at its relaxed geometry at the PBE-GGA level of DFT.

Values from the calculation:
Electronic total energy in eV per cell: -19.75
SG: P4/mmm
Crystal system: tetragonal

a = 5.627 Å, b = 5.627 Å, c = 6.620 Å
α = 90.00°, β = 90.00°, γ = 90.00°
Positions (direct):
1 Rb 0.000 0.000 0.000
2 Ca 0.500 0.500 0.000
3 Y 0.000 0.500 0.500
4 Y 0.500 0.000 0.500
5 Ge 0.000 0.000 0.500

# 6
Computed, not measured: crystalline Mg2CdW at its relaxed geometry at the PBE-GGA level of DFT.

Values from the calculation:
Electronic total energy in eV per cell: -14.51
SG: F-43m
Crystal system: cubic

a = 4.778 Å, b = 4.778 Å, c = 4.778 Å
α = 60.00°, β = 60.00°, γ = 60.00°
Positions (direct):
1 Mg 0.000 0.000 0.000
2 Mg 0.250 0.250 0.250
3 Cd 0.750 0.750 0.750
4 W 0.500 0.500 0.500

# 7
Computed, not measured: crystalline CuCO2F at its relaxed geometry at the PBE-GGA level of DFT.

Values from the calculation:
SG: P4/mmm
Crystal system: tetragonal
Raw formation energy in eV per formula unit: 5.5

a = 3.767 Å, b = 3.767 Å, c = 3.692 Å
α = 90.00°, β = 90.00°, γ = 90.00°
Positions (direct):
1 Cu 0.000 0.000 0.000
2 C 0.500 0.500 0.500
3 O 0.000 0.500 0.000
4 O 0.500 0.000 0.000
5 F 0.000 0.000 0.500

# 8
Computed, not measured: crystalline VGa3Ru4 at its relaxed geometry at the PBE-GGA level of DFT.

Values from the calculation:
Electronic total energy in eV per cell: -58.44
SG: I4/mmm
Crystal system: tetragonal

a = 6.744 Å, b = 6.744 Å, c = 6.744 Å
α = 143.03°, β = 143.03°, γ = 53.28°
Positions (direct):
1 V 0.000 0.000 0.000
2 Ga 0.249 0.249 0.000
3 Ga 0.500 0.500 0.000
4 Ga 0.751 0.751 0.000
5 Ru 0.125 0.625 0.500
6 Ru 0.375 0.875 0.500
7 Ru 0.625 0.125 0.500
8 Ru 0.875 0.375 0.500

# 9
Computed, not measured: crystalline PrY2Al3 at its relaxed geometry at the PBE-GGA level of DFT.

Values from the calculation:
Electronic total energy in eV per cell: -31.30
SG: P4/mmm
Crystal system: tetragonal

a = 3.641 Å, b = 3.641 Å, c = 11.056 Å
α = 90.00°, β = 90.00°, γ = 90.00°
Positions (direct):
1 Pr 0.000 0.000 0.000
2 Y 0.000 0.000 0.339
3 Y 0.000 0.000 0.661
4 Al 0.500 0.500 0.180
5 Al 0.500 0.500 0.500
6 Al 0.500 0.500 0.820

# 10
Computed, not measured: crystalline Dy3Zr at its relaxed geometry at the PBE-GGA level of DFT.

Values from the calculation:
SG: Fm-3m
Energy above the most stable polymorph in this dataset in meV per atom: 136
Crystal system: cubic

a = 5.497 Å, b = 5.497 Å, c = 5.497 Å
α = 60.00°, β = 60.00°, γ = 60.00°
Positions (direct):
1 Dy 0.000 0.000 0.000
2 Dy 0.250 0.250 0.250
3 Dy 0.750 0.750 0.750
4 Zr 0.500 0.500 0.500

# 11
Computed, not measured: crystalline K3Y2ZrSe6 at its relaxed geometry at the PBE-GGA level of DFT.

Values from the calculation:
SG: C2/m
Crystal system: monoclinic
Raw formation energy in eV per formula unit: -19.2

a = 7.127 Å, b = 7.127 Å, c = 8.077 Å
α = 98.47°, β = 98.47°, γ = 120.00°
Positions (direct):
1 K 0.000 0.000 0.000
2 K 0.331 0.669 0.000
3 K 0.669 0.331 0.000
4 Y 0.166 0.834 0.500
5 Y 0.834 0.166 0.500
6 Zr 0.500 0.500 0.500
7 Se 0.110 0.432 0.295
8 Se 0.248 0.248 0.706
9 Se 0.432 0.110 0.295
10 Se 0.568 0.890 0.705
11 Se 0.752 0.752 0.294
12 Se 0.890 0.568 0.705

# 12
Computed, not measured: crystalline TbMg4Au2 at its relaxed geometry at the PBE-GGA level of DFT.

Values from the calculation:
Electronic total energy in eV per cell: -41.94
SG: P4_2/mnm
Crystal system: tetragonal

a = 8.310 Å, b = 8.310 Å, c = 4.394 Å
α = 90.00°, β = 90.00°, γ = 90.00°
Positions (direct):
1 Tb 0.000 0.000 0.000
2 Tb 0.500 0.500 0.500
3 Mg 0.090 0.337 0.500
4 Mg 0.163 0.590 0.000
5 Mg 0.337 0.090 0.500
6 Mg 0.410 0.837 0.000
7 Mg 0.590 0.163 0.000
8 Mg 0.663 0.910 0.500
9 Mg 0.837 0.410 0.000
10 Mg 0.910 0.663 0.500
11 Au 0.213 0.787 0.500
12 Au 0.287 0.287 0.000
13 Au 0.713 0.713 0.000
14 Au 0.787 0.213 0.500